1.
First-principles (SCAN) data for a PBEsol-optimized structure of NaZrTlNi2, as listed in Alexandria.

Values from the calculation:
Energy relative to the elements   4.09 eV/f.u.
SG   P4/mmm (123)
Mass density   5988 kg/m³
DOS at the Fermi energy   4.33 states/eV/cell

Structure (POSCAR):
```
NaZrTlNi2
1.0
-0.1895 -0.0630 4.6388
-1.8228 -4.2683 -0.1324
5.1531 -2.2063 0.1805
Ni Tl Zr Na
2 1 1 1
Direct
0.0000 0.5000 0.0000 Ni
0.5000 0.0000 0.0000 Ni
0.0000 0.0000 0.5000 Tl
0.0000 0.0000 0.0000 Zr
0.5000 0.5000 0.5000 Na
```


2.
First-principles (SCAN) data for a PBEsol-optimized structure of Na3ZnNi, as listed in Alexandria.

Values from the calculation:
Energy relative to the elements   3.32 eV/f.u.
SG   Pm-3m (221)
Mass density   2260 kg/m³
DOS at the Fermi energy   2.01 states/eV/cell

Structure (POSCAR):
```
Na3ZnNi
1.0
-3.9280 -2.7262 2.0836
3.3880 -3.5831 1.6989
0.5434 2.6329 4.4694
Ni Zn Na
1 1 3
Direct
0.0000 0.0000 0.0000 Ni
0.5000 0.5000 0.5000 Zn
0.0000 0.5000 0.0000 Na
0.0000 0.0000 0.5000 Na
0.5000 0.0000 0.0000 Na
```


3.
First-principles (SCAN) data for a PBEsol-optimized structure of NaZr3Ni, as listed in Alexandria.

Values from the calculation:
Energy relative to the elements   9.11 eV/f.u.
SG   Pm-3m (221)
Mass density   5263 kg/m³
DOS at the Fermi energy   7.95 states/eV/cell

Structure (POSCAR):
```
NaZr3Ni
1.0
-0.2394 -2.3098 4.2262
-1.0355 -4.1077 -2.3037
4.7035 -1.0219 -0.2921
Ni Zr Na
1 3 1
Direct
0.5000 0.5000 0.5000 Ni
0.0000 0.5000 0.0000 Zr
0.0000 0.0000 0.5000 Zr
0.5000 0.0000 0.0000 Zr
0.0000 0.0000 0.0000 Na
```


4.
First-principles (SCAN) data for a PBEsol-optimized structure of Na5NpO6, as listed in Alexandria.

Values from the calculation:
SG   C2/m (12)
Mass density   4801 kg/m³
DOS at the Fermi energy   0.00 states/eV/cell

Structure (POSCAR):
```
Na5NpO6
1.0
5.7271 -0.0007 -0.0013
-1.0096 5.6717 0.0055
-1.0096 -3.0734 4.7668
Na Np O
5 1 6
Direct
0.0000 0.6667 0.3333 Na
0.0000 0.3333 0.6667 Na
0.5000 0.5000 0.5000 Na
0.5000 0.8249 0.1751 Na
0.5000 0.1751 0.8249 Na
0.0000 0.0000 0.0000 Np
0.7768 0.6383 0.9266 O
0.7768 0.9266 0.6383 O
0.2232 0.3617 0.0734 O
0.2232 0.0734 0.3617 O
0.2116 0.7890 0.7890 O
0.7884 0.2110 0.2110 O
```


5.
First-principles (SCAN) data for a PBEsol-optimized structure of NaO2, as listed in Alexandria.

Values from the calculation:
SG   P4_2/mnm (136)
E above lowest polymorph   0.030 eV per atom
Mass density   2304 kg/m³
DOS at the Fermi energy   4.61 states/eV/cell

Structure (POSCAR):
```
NaO2
1.0
-3.7595 -1.3715 -1.0587
-0.2405 -2.0918 3.5641
-1.9172 3.6855 2.0337
Na O
2 4
Direct
0.5000 0.5000 0.5000 Na
0.0000 0.0000 0.0000 Na
0.1143 0.8857 0.5000 O
0.8857 0.1143 0.5000 O
0.3857 0.3857 0.0000 O
0.6143 0.6143 0.0000 O
```


6.
First-principles (SCAN) data for a PBEsol-optimized structure of NaO2, as listed in Alexandria.

Values from the calculation:
SG   Cmce (64)
E above lowest polymorph   0.000 eV per atom
Mass density   2572 kg/m³
DOS at the Fermi energy   8.19 states/eV/cell

Structure (POSCAR):
```
NaO2
1.0
4.9857 0.0000 0.0000
0.0000 6.2477 0.0000
0.0000 0.0000 9.1190
Na O
8 16
Direct
0.2498 0.7500 0.6293 Na
0.7498 0.7500 0.3707 Na
0.7502 0.2500 0.8707 Na
0.2502 0.2500 0.1293 Na
0.7502 0.2500 0.3707 Na
0.2502 0.2500 0.6293 Na
0.2498 0.7500 0.1293 Na
0.7498 0.7500 0.8707 Na
0.3029 0.0000 0.9269 O
0.8029 0.5000 0.0732 O
0.6971 0.5000 0.5732 O
0.1971 0.0000 0.4268 O
0.6971 0.0000 0.0731 O
0.1971 0.5000 0.9268 O
0.3029 0.5000 0.4268 O
0.8029 0.0000 0.5732 O
0.6056 0.0000 0.6731 O
0.1056 0.5000 0.3269 O
0.3944 0.5000 0.8269 O
0.8944 0.0000 0.1731 O
0.3944 0.0000 0.3269 O
0.8944 0.5000 0.6731 O
0.6056 0.5000 0.1731 O
0.1056 0.0000 0.8269 O
```


7.
First-principles (SCAN) data for a PBEsol-optimized structure of NaO2, as listed in Alexandria.

Values from the calculation:
SG   Pa-3 (205)
E above lowest polymorph   0.032 eV per atom
Mass density   2279 kg/m³
DOS at the Fermi energy   16.26 states/eV/cell

Structure (POSCAR):
```
NaO2
1.0
-3.1105 -2.0970 3.9283
4.4036 -0.7373 3.0933
-0.6610 4.9561 2.1223
Na O
4 8
Direct
0.0000 0.5000 0.5000 Na
0.5000 0.5000 0.0000 Na
0.5000 0.0000 0.5000 Na
0.0000 0.0000 0.0000 Na
0.4286 0.0714 0.9286 O
0.0714 0.9286 0.4286 O
0.9286 0.4286 0.0714 O
0.5714 0.5714 0.5714 O
0.4286 0.4286 0.4286 O
0.0714 0.5714 0.9286 O
0.9286 0.0714 0.5714 O
0.5714 0.9286 0.0714 O
```


8.
First-principles (SCAN) data for a PBEsol-optimized structure of Na3OsO5, as listed in Alexandria.

Values from the calculation:
SG   P3_121 (152)
Mass density   4742 kg/m³

Structure (POSCAR):
```
Na3OsO5
1.0
-4.2584 2.6061 2.4198
1.0915 -5.2918 1.2597
8.0672 4.0143 9.8733
Na Os O
9 3 15
Direct
0.0925 0.3832 0.0846 Na
0.2907 0.9075 0.7513 Na
0.9075 0.2907 0.5820 Na
0.6168 0.7093 0.4180 Na
0.2736 0.0000 0.5000 Na
0.3832 0.0925 0.2487 Na
0.7264 0.7264 0.1667 Na
0.0000 0.2736 0.8333 Na
0.7093 0.6168 0.9154 Na
0.6139 0.6139 0.6667 Os
0.0000 0.3861 0.3333 Os
0.3861 0.0000 0.0000 Os
0.5245 0.3427 0.0657 O
0.0000 0.7074 0.3333 O
0.4755 0.8183 0.6009 O
0.3427 0.5245 0.2676 O
0.1592 0.3154 0.4397 O
0.8408 0.1562 0.2270 O
0.1817 0.6573 0.9343 O
0.1562 0.8408 0.1063 O
0.6846 0.8438 0.7730 O
0.8438 0.6846 0.5603 O
0.2926 0.2926 0.6667 O
0.8183 0.4755 0.7324 O
0.6573 0.1817 0.3991 O
0.7074 0.0000 0.0000 O
0.3154 0.1592 0.8937 O
```


Number 1: energy -27.107 eV per atom. Number 2: energy -7.803 eV per atom. Number 3: energy -20.675 eV per atom. Number 4: energy -16.089 eV per atom. Number 5: energy -6.394 eV per atom. Number 6: energy -6.423 eV per atom. Number 7: energy -6.392 eV per atom. Number 8: energy -14.368 eV per atom.